Entry from the Alexandria database: an optimized crystal structure of Ce2Nd2Tl3 (PBE).

## Properties
Magnetization in μB per atom: 0.36
E above lowest polymorph in eV per atom: 0.044
Calculated volume in A^3/atom: 29.391
Energy in eV/atom: -4.277

Cell lengths 4.6855, 5.9310, 9.3945 Å; angles 108.29, 104.46, 113.28 degrees
With the nearest neighbours (Å) after each atom.
Positions (direct):
Ce1 0.6081 0.3279 0.8865  2 Ce 3.10-3.12, 6 Tl 3.31-3.43
Ce2 0.3919 0.6721 0.1135  2 Ce 3.10-3.12, 6 Tl 3.31-3.43
Nd1 0.7222 0.8525 0.5917  6 Tl 3.33-3.48, 3 Nd 3.40-3.65, 2 Ce 3.60
Nd2 0.2778 0.1475 0.4083  6 Tl 3.33-3.48, 3 Nd 3.40-3.65, 2 Ce 3.60
Tl1 0.0000 0.0000 0.0000  6 Ce 3.31-3.39, 2 Nd 3.42, 4 Tl 3.55-3.56
Tl2 0.8749 0.4571 0.2933  5 Nd 3.33-3.48, 3 Ce 3.36-3.43, 3 Tl 3.55-3.57
Tl3 0.1251 0.5429 0.7067  5 Nd 3.33-3.48, 3 Ce 3.36-3.43, 3 Tl 3.55-3.57


Entry from the Alexandria database: an optimized crystal structure of Ce3Nd2Tl4 (PBE).

## Properties
Magnetization in μB per atom: 0.38
Calculated volume in A^3/atom: 29.541
Energy in eV/atom: -4.322

Cell lengths 5.5107, 5.4612, 10.2147 Å; angles 88.76, 89.79, 59.89 degrees
With the nearest neighbours (Å) after each atom.
Positions (direct):
Tl1 0.6583 0.6821 0.8919  4 Ce 3.34-3.40, 4 Nd 3.37-3.39
Tl2 0.3417 0.3179 0.1081  4 Ce 3.34-3.40, 4 Nd 3.37-3.39
Tl3 0.0289 0.9438 0.3441  1 Tl 3.24, 4 Ce 3.30-3.52, 3 Nd 3.36-3.48
Tl4 0.9711 0.0562 0.6559  1 Tl 3.24, 4 Ce 3.30-3.52, 3 Nd 3.36-3.48
Ce1 0.3695 0.2629 0.4403  1 Ce 2.74
Ce2 0.6305 0.7371 0.5597  1 Ce 2.74
Ce3 0.0000 0.0000 0.0000  8 Tl 3.34-3.52
Nd1 0.6813 0.6392 0.2235  7 Tl 3.36-3.48, 2 Ce 3.48-3.73
Nd2 0.3187 0.3608 0.7765  7 Tl 3.36-3.48, 2 Ce 3.48-3.73


Entry from the Alexandria database: an optimized crystal structure of Ce2NdTl4 (PBE).

## Properties
Magnetization in μB per atom: 0.36
E above lowest polymorph in eV per atom: 0.000
Calculated volume in A^3/atom: 29.486
Energy in eV/atom: -3.923

Cell lengths 6.1198, 6.3326, 11.1386 Å; angles 90.00, 107.00, 90.00 degrees
With the nearest neighbours (Å) after each atom.
Positions (direct):
Ce1 0.3883 0.2500 0.0139  6 Tl 3.23-3.55, 2 Ce 3.50, 1 Nd 3.58
Ce2 0.6989 0.7500 0.5775  9 Tl 3.26-3.61
Ce3 0.3011 0.2500 0.4225  9 Tl 3.26-3.61
Ce4 0.6117 0.7500 0.9861  6 Tl 3.23-3.55, 2 Ce 3.50, 1 Nd 3.58
Tl1 0.0473 0.7500 0.8778  2 Tl 3.20, 3 Ce 3.23-3.40, 3 Nd 3.28-3.47
Tl2 0.9527 0.2500 0.1222  2 Tl 3.20, 3 Ce 3.23-3.40, 3 Nd 3.28-3.47
Tl3 0.1447 0.7500 0.4583  1 Nd 3.12, 4 Tl 3.21-3.32, 4 Ce 3.26-3.37
Tl4 0.3184 0.0049 0.7181  5 Tl 3.10-3.32, 1 Nd 3.28, 1 Ce 3.41
Tl5 0.3184 0.4951 0.7181  5 Tl 3.10-3.32, 1 Nd 3.28, 1 Ce 3.41
Tl6 0.6816 0.5049 0.2819  5 Tl 3.10-3.32, 1 Nd 3.28, 1 Ce 3.41
Tl7 0.8553 0.2500 0.5417  1 Nd 3.12, 4 Tl 3.21-3.32, 4 Ce 3.26-3.37
Tl8 0.6816 0.9951 0.2819  5 Tl 3.10-3.32, 1 Nd 3.28, 1 Ce 3.41
Nd1 0.1882 0.7500 0.1857  6 Tl 3.12-3.47
Nd2 0.8118 0.2500 0.8143  6 Tl 3.12-3.47


Entry from the Alexandria database: an optimized crystal structure of CeNd2Tl2 (PBE).

## Properties
Magnetization in μB per atom: 0.14
E above lowest polymorph in eV per atom: 0.000
Calculated volume in A^3/atom: 31.564
Energy in eV/atom: -4.263

Cell lengths 6.1991, 6.1944, 10.0554 Å; angles 65.65, 65.62, 71.77 degrees
With the nearest neighbours (Å) after each atom.
Positions (direct):
Nd1 0.8467 0.8480 0.8471  6 Tl 3.38-3.39, 1 Nd 3.40, 2 Ce 3.64-3.65
Nd2 0.6533 0.6517 0.6530  6 Tl 3.38-3.39, 1 Nd 3.40, 2 Ce 3.64-3.65
Nd3 0.1533 0.1520 0.1529  6 Tl 3.38-3.39, 1 Nd 3.40, 2 Ce 3.64-3.65
Nd4 0.3467 0.3483 0.3470  6 Tl 3.38-3.39, 1 Nd 3.40, 2 Ce 3.64-3.65
Tl1 0.7135 0.2870 0.0004  1 Tl 3.10, 2 Ce 3.25, 6 Nd 3.38-3.39
Tl2 0.2865 0.7130 0.9996  1 Tl 3.10, 2 Ce 3.25, 6 Nd 3.38-3.39
Tl3 0.2135 0.7874 0.5003  1 Tl 3.10, 2 Ce 3.25, 6 Nd 3.38-3.39
Tl4 0.7865 0.2126 0.4997  1 Tl 3.10, 2 Ce 3.25, 6 Nd 3.38-3.39
Ce1 0.2500 0.2502 0.7498  4 Tl 3.25
Ce2 0.7500 0.7498 0.2502  4 Tl 3.25


Entry from the Alexandria database: an optimized crystal structure of Ce2Nd5Tl5 (PBE).

## Properties
Magnetization in μB per atom: 0.18
Calculated volume in A^3/atom: 31.182
Energy in eV/atom: -4.130

Cell lengths 5.2162, 6.5694, 12.7133 Å; angles 108.88, 90.00, 113.39 degrees
With the nearest neighbours (Å) after each atom.
Positions (direct):
Nd1 0.5000 0.0000 0.5000  6 Tl 3.35-3.64, 2 Nd 3.72
Nd2 0.6382 0.2764 0.2808  5 Tl 3.25-3.49, 2 Ce 3.49, 1 Nd 3.53
Nd3 0.6550 0.3099 0.0094  3 Tl 3.19-3.38, 3 Nd 3.53-3.54
Nd4 0.3450 0.6901 0.9906  3 Tl 3.19-3.38, 3 Nd 3.53-3.54
Nd5 0.3618 0.7236 0.7192  5 Tl 3.25-3.49, 2 Ce 3.49, 1 Nd 3.53
Tl1 0.0000 0.0000 0.0000  4 Nd 3.19, 2 Ce 3.37, 2 Tl 3.48
Tl2 0.7299 0.4597 0.7774  2 Ce 3.24, 3 Nd 3.27-3.38, 1 Tl 3.48
Tl3 0.8399 0.6799 0.5305  1 Ce 3.24, 5 Nd 3.25-3.49, 2 Tl 3.30
Tl4 0.1601 0.3201 0.4695  1 Ce 3.24, 5 Nd 3.25-3.49, 2 Tl 3.30
Tl5 0.2701 0.5403 0.2226  2 Ce 3.24, 3 Nd 3.27-3.38, 1 Tl 3.48
Ce1 0.9345 0.8691 0.2367  4 Tl 3.24-3.37, 3 Nd 3.49-3.58
Ce2 0.0655 0.1309 0.7633  4 Tl 3.24-3.37, 3 Nd 3.49-3.58


Entry from the Alexandria database: an optimized crystal structure of CeNd2Tl2 (PBE).

## Properties
Magnetization in μB per atom: 0.17
E above lowest polymorph in eV per atom: 0.153
Calculated volume in A^3/atom: 30.772
Energy in eV/atom: -4.110

Cell lengths 5.2551, 5.2551, 12.8665 Å; angles 90.00, 90.00, 120.00 degrees
With the nearest neighbours (Å) after each atom.
Positions (direct):
Tl1 0.6667 0.3333 0.1249  1 Tl 3.22, 6 Nd 3.43, 3 Ce 3.43
Tl2 0.3333 0.6667 0.8751  1 Tl 3.22, 6 Nd 3.43, 3 Ce 3.43
Tl3 0.6667 0.3333 0.3751  1 Tl 3.22, 6 Nd 3.43, 3 Ce 3.43
Tl4 0.3333 0.6667 0.6249  1 Tl 3.22, 6 Nd 3.43, 3 Ce 3.43
Nd1 0.6667 0.3333 0.7500  3 Ce 3.03
Nd2 0.3333 0.6667 0.2500  3 Ce 3.03
Nd3 0.0000 0.0000 0.5000  2 Ce 3.22, 6 Tl 3.43
Nd4 0.0000 0.0000 0.0000  2 Ce 3.22, 6 Tl 3.43
Ce1 0.0000 0.0000 0.7500  5 Nd 3.03-3.22
Ce2 0.0000 0.0000 0.2500  5 Nd 3.03-3.22


Entry from the Alexandria database: an optimized crystal structure of Ce2NdTl (PBE).

## Properties
Magnetization in μB per atom: 0.44
E above lowest polymorph in eV per atom: 0.192
Calculated volume in A^3/atom: 30.733
Energy in eV/atom: -4.720

Cell lengths 3.5222, 3.5222, 11.6213 Å; angles 81.28, 81.28, 60.00 degrees
With the nearest neighbours (Å) after each atom.
Positions (direct):
Nd1 0.5008 0.5008 0.4975  6 Nd 3.52, 6 Ce 3.58-3.64
Ce1 0.2534 0.2534 0.2397  3 Tl 3.40, 6 Ce 3.52, 3 Nd 3.58
Ce2 0.0795 0.0795 0.7616  3 Tl 3.41, 6 Ce 3.52, 3 Nd 3.64
Tl1 0.6663 0.6663 0.0012  6 Ce 3.40-3.41, 6 Tl 3.52


Entry from the Alexandria database: an optimized crystal structure of CeNd12Tl3 (PBE).

## Properties
Magnetization in μB per atom: 0.06
Calculated volume in A^3/atom: 31.869
Energy in eV/atom: -4.520

Cell lengths 4.9965, 4.9965, 20.4247 Å; angles 90.00, 90.00, 90.00 degrees
With the nearest neighbours (Å) after each atom.
Positions (direct):
Nd1 0.5000 0.5000 0.2538  4 Tl 3.53, 8 Nd 3.54-3.57
Nd2 0.5000 0.5000 0.5000  4 Tl 3.53, 8 Nd 3.55
Nd3 0.0000 0.5000 0.6233  4 Tl 3.52-3.55, 8 Nd 3.53-3.55
Nd4 0.5000 0.0000 0.6233  4 Tl 3.52-3.55, 8 Nd 3.53-3.55
Nd5 0.5000 0.5000 0.0000  4 Ce 3.53, 8 Nd 3.63
Nd6 0.0000 0.5000 0.8713  8 Nd 3.53-3.63, 2 Tl 3.59, 2 Ce 3.63
Nd7 0.0000 0.5000 0.3767  4 Tl 3.52-3.55, 8 Nd 3.53-3.55
Nd8 0.5000 0.0000 0.8713  8 Nd 3.53-3.63, 2 Tl 3.59, 2 Ce 3.63
Nd9 0.0000 0.5000 0.1287  8 Nd 3.53-3.63, 2 Tl 3.59, 2 Ce 3.63
Nd10 0.5000 0.5000 0.7462  4 Tl 3.53, 8 Nd 3.54-3.57
Nd11 0.5000 0.0000 0.3767  4 Tl 3.52-3.55, 8 Nd 3.53-3.55
Nd12 0.5000 0.0000 0.1287  8 Nd 3.53-3.63, 2 Tl 3.59, 2 Ce 3.63
Tl1 0.0000 0.0000 0.7450  12 Nd 3.52-3.59
Tl2 0.0000 0.0000 0.5000  12 Nd 3.53-3.55
Tl3 0.0000 0.0000 0.2550  12 Nd 3.52-3.59
Ce1 0.0000 0.0000 0.0000  12 Nd 3.53-3.63


The evaluated ΔH_f (0 K) for the records listed, in turn: -0.205; -0.232; -0.194; -0.223; -0.168; -0.070; 0.030; -0.130 eV/atom.